# 1
The following is a GGA-PBE calculation of an optimized crystal structure of NpReNiP2, from Alexandria via LeMat-Bulk.

Values from the calculation:
* formation energy: -520 meV/atom
* N(E_F): 1.64 states/eV/atom
* SG: I-4m2
* V: 77.5 Å³/cell
* spin magnetization: 4.09 μB per cell
* E_tot: -44.588 eV/f.u.

a b c (Å): 3.840 3.840 5.917
angles (deg): 108.93 108.93 90.00
Element x y z (fractional)
Np (0.000, 0.000, 0.000)
Re (0.750, 0.250, 0.500)
Ni (0.250, 0.750, 0.500)
P (0.623, 0.623, 0.246)
P (0.377, 0.377, 0.754)

---

# 2
The following is a GGA-PBE calculation of an optimized crystal structure of CaMnMoP2, from Alexandria via LeMat-Bulk.

Values from the calculation:
* formation energy: 1919 meV/atom
* N(E_F): 1.43 states/eV/atom
* SG: P4/mmm
* V: 110.2 Å³/cell
* spin magnetization: 3.73 μB per cell
* E_tot: -23.227 eV/f.u.

a b c (Å): 4.918 4.555 4.918
angles (deg): 90.00 90.00 90.00
Element x y z (fractional)
P (0.000, 0.000, 0.500)
P (0.500, 0.000, 0.000)
Mo (0.500, 0.500, 0.500)
Mn (0.000, 0.500, 0.000)
Ca (0.000, 0.000, 0.000)